No. 1
This record from Alexandria describes Ga4Ni15Mo after structural relaxation. The functional is PBE-GGA.

The structure belongs to space group P4/mmm (No. 123); the cell edges are 3.5967, 3.5967 and 17.9082 Å and the angles 90.00°, 90.00° and 90.00°. The distinct sites, in fractional coordinates, are Ga at (0.0000, 0.0000, 0.0991), Ga at (0.0000, 0.0000, 0.2958), Ni at (0.0000, 0.5000, 0.0000), Ni at (0.0000, 0.5000, 0.1991), Ni at (0.0000, 0.5000, 0.4003), Ni at (0.5000, 0.5000, 0.1003), Ni at (0.5000, 0.5000, 0.2998), Ni at (0.5000, 0.5000, 0.5000) and Mo at (0.0000, 0.0000, 0.5000).

The value obtained for the volume is 232 Å³ per cell. As for the crystal system: tetragonal. The total magnetization is 1.49 μB per formula unit. The calculation puts the density of states at the Fermi level at 0.840 states/eV per atom.

No. 2
This record from Alexandria describes Ga3NiMo after structural relaxation. The functional is PBE-GGA.

The structure belongs to space group Pm-3m (No. 221); the cell edges are 4.4553, 4.4553 and 4.4553 Å and the angles 90.00°, 90.00° and 90.00°. The distinct sites, in fractional coordinates, are Ga at (0.0000, 0.0000, 0.5000), Ni at (0.0000, 0.0000, 0.0000) and Mo at (0.5000, 0.5000, 0.5000).

The value obtained for the volume is 88 Å³ per cell. As for the crystal system: cubic. The total magnetization is 2.77 μB per formula unit. The value obtained for the energy above the most stable polymorph in this dataset is 0.000 eV per atom. The calculation puts the density of states at the Fermi level at 0.628 states/eV per atom.

No. 3
This record from Alexandria describes Ga2NiMo after structural relaxation. The functional is PBE-GGA.

The structure belongs to space group P4/mmm (No. 123); the cell edges are 2.7140, 2.7140 and 7.5606 Å and the angles 90.00°, 90.00° and 90.00°. The distinct sites, in fractional coordinates, are Ga at (0.0000, 0.0000, 0.2227), Ni at (0.5000, 0.5000, 0.0000) and Mo at (0.5000, 0.5000, 0.5000).

The value obtained for the volume is 56 Å³ per cell. As for the crystal system: tetragonal. The total magnetization is 0.00 μB per formula unit. The calculation puts the density of states at the Fermi level at 0.583 states/eV per atom.

No. 4
This record from Alexandria describes GaNi3Mo after structural relaxation. The functional is PBE-GGA.

The structure belongs to space group Pm-3m (No. 221); the cell edges are 4.5195, 4.5195 and 4.5195 Å and the angles 90.00°, 90.00° and 90.00°. The distinct sites, in fractional coordinates, are Ga at (0.0000, 0.0000, 0.0000), Ni at (0.0000, 0.5000, 0.5000) and Mo at (0.5000, 0.5000, 0.5000).

The value obtained for the volume is 92 Å³ per cell. As for the crystal system: cubic. The total magnetization is 0.00 μB per formula unit. The value obtained for the energy above the most stable polymorph in this dataset is 0.293 eV per atom. The calculation puts the density of states at the Fermi level at 1.233 states/eV per atom.

No. 5
This record from Alexandria describes GaNi2Mo2 after structural relaxation. The functional is PBE-GGA.

The structure belongs to space group P4/mbm (No. 127); the cell edges are 6.2011, 6.2011 and 3.5906 Å and the angles 90.00°, 90.00° and 90.00°. The distinct sites, in fractional coordinates, are Ga at (0.0000, 0.0000, 0.0000), Ni at (0.1328, 0.3672, 0.0000) and Mo at (0.1681, 0.6681, 0.5000).

The value obtained for the volume is 138 Å³ per cell. As for the crystal system: tetragonal. The total magnetization is 0.00 μB per formula unit. The calculation puts the density of states at the Fermi level at 1.003 states/eV per atom.

No. 6
This record from Alexandria describes Ga2NiMo after structural relaxation. The functional is PBE-GGA.

The structure belongs to space group R3m (No. 160, hexagonal axes); the cell edges are 2.8349, 2.8349 and 24.7365 Å and the angles 90.00°, 90.00° and 120.00°. The distinct sites, in fractional coordinates, are Ga at (0.0000, 0.0000, 0.0000), Ga at (0.0000, 0.0000, 0.1804), Ni at (0.0000, 0.0000, 0.5896) and Mo at (0.0000, 0.0000, 0.4238).

The value obtained for the volume is 172 Å³ per cell. As for the crystal system: trigonal. The total magnetization is 0.00 μB per formula unit. The calculation puts the density of states at the Fermi level at 0.666 states/eV per atom.

No. 7
This record from Alexandria describes Ga2NiMo after structural relaxation. The functional is PBE-GGA.

The structure belongs to space group Fm-3m (No. 225); the cell edges are 6.0755, 6.0755 and 6.0755 Å and the angles 90.00°, 90.00° and 90.00°. The distinct sites, in fractional coordinates, are Ga at (0.2500, 0.2500, 0.2500), Ni at (0.0000, 0.0000, 0.0000) and Mo at (0.0000, 0.0000, 0.5000).

The value obtained for the volume is 224 Å³ per cell. As for the crystal system: cubic. The total magnetization is 0.00 μB per formula unit. The calculation puts the density of states at the Fermi level at 0.923 states/eV per atom.

No. 8
This record from Alexandria describes Ga2NiMo after structural relaxation. The functional is PBE-GGA.

The structure belongs to space group P4/mmm (No. 123); the cell edges are 4.0185, 4.0185 and 3.4580 Å and the angles 90.00°, 90.00° and 90.00°. The distinct sites, in fractional coordinates, are Ga at (0.0000, 0.5000, 0.0000), Ni at (0.0000, 0.0000, 0.5000) and Mo at (0.5000, 0.5000, 0.5000).

The value obtained for the volume is 56 Å³ per cell. As for the crystal system: tetragonal. The total magnetization is 0.00 μB per formula unit. The calculation puts the density of states at the Fermi level at 0.655 states/eV per atom.

no.,energy of formation (kcal/mol of atoms),total DFT energy (no corrections) (eV per atom)
1,-5.97,-5.742
2,12.23,-4.608
3,-3.22,-5.806
4,29.09,-4.979
5,1.75,-7.174
6,-3.10,-5.801
7,-0.30,-5.680
8,-4.03,-5.841